## Th2HgPd6 (PBE)

Data for a geometry-optimized Th2HgPd6 structure.

Cell lengths 7.9609, 7.9609, 3.6816 Å; angles 90.00, 90.00, 124.81 degrees
Closest atoms and distances in Å follow each position.
Atoms (fractional coordinates):
Th 0.1828 0.8172 0.0000  6 Pd 2.88-2.98
Th 0.8172 0.1828 0.0000  6 Pd 2.88-2.98
Hg 0.5000 0.5000 0.5000  8 Pd 2.69-2.87
Pd 0.1377 0.4545 0.5000  3 Pd 2.67-2.98, 1 Hg 2.69, 2 Th 2.88
Pd 0.2012 0.2012 0.0000  2 Hg 2.87, 5 Pd 2.97-2.98, 2 Th 2.98
Pd 0.4545 0.1377 0.5000  3 Pd 2.67-2.98, 1 Hg 2.69, 2 Th 2.88
Pd 0.5455 0.8623 0.5000  3 Pd 2.67-2.98, 1 Hg 2.69, 2 Th 2.88
Pd 0.7988 0.7988 0.0000  2 Hg 2.87, 5 Pd 2.97-2.98, 2 Th 2.98
Pd 0.8623 0.5455 0.5000  3 Pd 2.67-2.98, 1 Hg 2.69, 2 Th 2.88

Formation energy from the elements   -0.53 eV/atom
D(E_F)   3.3 states/eV/cell



## Th3HgPd (PBE)

Data for a geometry-optimized Th3HgPd structure.

Cell lengths 7.2136, 7.2136, 11.3327 Å; angles 90.00, 90.00, 150.66 degrees
Closest atoms and distances in Å follow each position.
Atoms (fractional coordinates):
Th 0.0320 0.9680 0.7500  2 Pd 2.87
Th 0.3399 0.6601 0.5543  2 Pd 2.95, 2 Hg 3.28
Th 0.3399 0.6601 0.9457  2 Pd 2.95, 2 Hg 3.28
Th 0.6601 0.3399 0.0543  2 Pd 2.95, 2 Hg 3.28
Th 0.6601 0.3399 0.4457  2 Pd 2.95, 2 Hg 3.28
Th 0.9680 0.0320 0.2500  2 Pd 2.87
Hg 0.2740 0.7260 0.2500  8 Th 3.27-3.57, 2 Hg 3.65
Hg 0.7260 0.2740 0.7500  8 Th 3.27-3.57, 2 Hg 3.65
Pd 0.0000 0.0000 0.0000  6 Th 2.87-2.95
Pd 0.0000 0.0000 0.5000  6 Th 2.87-2.95

Formation energy from the elements   -0.23 eV/atom
D(E_F)   11.0 states/eV/cell



## ThHgPd6 (PBE)

Data for a geometry-optimized ThHgPd6 structure.

Cell lengths 5.0338, 5.0338, 7.2397 Å; angles 104.03, 104.03, 66.16 degrees
Closest atoms and distances in Å follow each position.
Atoms (fractional coordinates):
Th 0.0000 0.0000 0.0000  10 Pd 2.87-3.00
Hg 0.5000 0.5000 0.5000  6 Pd 2.74-2.97
Pd 0.0365 0.5542 0.2021  5 Pd 2.65-2.87, 1 Hg 2.74, 2 Th 2.87-2.89
Pd 0.1357 0.1357 0.4322  5 Pd 2.74-2.87, 1 Hg 2.97, 1 Th 3.00
Pd 0.4458 0.9635 0.7979  5 Pd 2.65-2.87, 1 Hg 2.74, 2 Th 2.87-2.89
Pd 0.5542 0.0365 0.2021  5 Pd 2.65-2.87, 1 Hg 2.74, 2 Th 2.87-2.89
Pd 0.8643 0.8643 0.5678  5 Pd 2.74-2.87, 1 Hg 2.97, 1 Th 3.00
Pd 0.9635 0.4458 0.7979  5 Pd 2.65-2.87, 1 Hg 2.74, 2 Th 2.87-2.89

ΔE to the lowest computed polymorph   285 meV/atom
Formation energy from the elements   -0.29 eV/atom
D(E_F)   3.0 states/eV/cell



## Th2Hg3Pd2 (PBE)

Data for a geometry-optimized Th2Hg3Pd2 structure.

Cell lengths 4.1207, 3.7150, 12.1381 Å; angles 90.00, 99.78, 90.00 degrees
Closest atoms and distances in Å follow each position.
Atoms (fractional coordinates):
Th 0.0794 0.0000 0.1634  4 Pd 2.98-2.99
Th 0.9206 0.0000 0.8366  4 Pd 2.98-2.99
Hg 0.2077 0.5000 0.4154  2 Pd 2.81, 2 Hg 2.89
Hg 0.5000 0.5000 0.0000  2 Pd 3.06, 8 Th 3.39-3.40
Hg 0.7923 0.5000 0.5846  2 Pd 2.81, 2 Hg 2.89
Pd 0.3732 0.5000 0.7442  3 Hg 2.81-3.06, 4 Th 2.98-2.99
Pd 0.6268 0.5000 0.2558  3 Hg 2.81-3.06, 4 Th 2.98-2.99

Formation energy from the elements   -0.36 eV/atom
D(E_F)   4.8 states/eV/cell



## ThHgPd3 (PBE)

Data for a geometry-optimized ThHgPd3 structure.

Cell lengths 6.6928, 6.6928, 6.6928 Å; angles 62.16, 62.16, 62.16 degrees
Closest atoms and distances in Å follow each position.
Atoms (fractional coordinates):
Th 0.0000 0.0000 0.0000  3 Pd 2.75
Th 0.5000 0.5000 0.5000  3 Pd 2.75
Hg 0.3042 0.3042 0.3042  6 Pd 2.70-2.78
Hg 0.8042 0.8042 0.8042  6 Pd 2.70-2.78
Pd 0.1544 0.9333 0.4046  2 Hg 2.70-2.78, 1 Th 2.75, 2 Pd 2.82
Pd 0.4046 0.1544 0.9333  2 Hg 2.70-2.78, 1 Th 2.75, 2 Pd 2.82
Pd 0.4333 0.6544 0.9046  2 Hg 2.70-2.78, 1 Th 2.75, 2 Pd 2.82
Pd 0.6544 0.9046 0.4333  2 Hg 2.70-2.78, 1 Th 2.75, 2 Pd 2.82
Pd 0.9046 0.4333 0.6544  2 Hg 2.70-2.78, 1 Th 2.75, 2 Pd 2.82
Pd 0.9333 0.4046 0.1544  2 Hg 2.70-2.78, 1 Th 2.75, 2 Pd 2.82

Formation energy from the elements   -0.29 eV/atom
D(E_F)   5.6 states/eV/cell



## ThHg2Pd (PBE)

Data for a geometry-optimized ThHg2Pd structure.

Cell lengths 3.6003, 3.6003, 7.0359 Å; angles 90.00, 90.00, 90.00 degrees
Closest atoms and distances in Å follow each position.
Atoms (fractional coordinates):
Th 0.0000 0.0000 0.0000  8 Hg 3.27, 2 Pd 3.52, 4 Th 3.60
Hg 0.5000 0.5000 0.2926  1 Hg 2.92, 4 Pd 2.93
Hg 0.5000 0.5000 0.7074  1 Hg 2.92, 4 Pd 2.93
Pd 0.0000 0.0000 0.5000  8 Hg 2.93

Formation energy from the elements   -0.25 eV/atom
D(E_F)   3.2 states/eV/cell



## ThHg3Pd12 (PBE)

Data for a geometry-optimized ThHg3Pd12 structure.

Cell lengths 4.1483, 4.1483, 16.0176 Å; angles 90.00, 90.00, 90.00 degrees
Closest atoms and distances in Å follow each position.
Atoms (fractional coordinates):
Th 0.0000 0.0000 0.0000  12 Pd 2.93-2.94
Hg 0.0000 0.0000 0.2569  12 Pd 2.85-2.93
Hg 0.0000 0.0000 0.5000  12 Pd 2.84-2.93
Hg 0.0000 0.0000 0.7431  12 Pd 2.85-2.93
Pd 0.0000 0.5000 0.1300  8 Pd 2.88-2.94, 2 Hg 2.90, 2 Th 2.94
Pd 0.0000 0.5000 0.3788  4 Hg 2.84-2.85, 8 Pd 2.84-2.93
Pd 0.0000 0.5000 0.6212  4 Hg 2.84-2.85, 8 Pd 2.84-2.93
Pd 0.0000 0.5000 0.8700  8 Pd 2.88-2.94, 2 Hg 2.90, 2 Th 2.94
Pd 0.5000 0.0000 0.1300  8 Pd 2.88-2.94, 2 Hg 2.90, 2 Th 2.94
Pd 0.5000 0.0000 0.3788  4 Hg 2.84-2.85, 8 Pd 2.84-2.93
Pd 0.5000 0.0000 0.6212  4 Hg 2.84-2.85, 8 Pd 2.84-2.93
Pd 0.5000 0.0000 0.8700  8 Pd 2.88-2.94, 2 Hg 2.90, 2 Th 2.94
Pd 0.5000 0.5000 0.0000  4 Th 2.93, 8 Pd 2.94
Pd 0.5000 0.5000 0.2546  8 Pd 2.87-2.88, 4 Hg 2.93
Pd 0.5000 0.5000 0.5000  8 Pd 2.84, 4 Hg 2.93
Pd 0.5000 0.5000 0.7454  8 Pd 2.87-2.88, 4 Hg 2.93

Formation energy from the elements   -0.33 eV/atom
D(E_F)   14.9 states/eV/cell



## ThHg2Pd (PBE)

Data for a geometry-optimized ThHg2Pd structure.

Cell lengths 5.0620, 5.0620, 5.0620 Å; angles 60.00, 60.00, 60.00 degrees
Closest atoms and distances in Å follow each position.
Atoms (fractional coordinates):
Th 0.0000 0.0000 0.0000  8 Hg 3.10
Hg 0.2500 0.2500 0.2500  4 Pd 3.10, 4 Th 3.10
Hg 0.7500 0.7500 0.7500  4 Pd 3.10, 4 Th 3.10
Pd 0.5000 0.5000 0.5000  8 Hg 3.10

Formation energy from the elements   -0.32 eV/atom
D(E_F)   2.4 states/eV/cell



## ThHg2Pd (PBE)

Data for a geometry-optimized ThHg2Pd structure.

Cell lengths 10.8250, 10.8250, 10.8250 Å; angles 17.60, 17.60, 17.60 degrees
Closest atoms and distances in Å follow each position.
Atoms (fractional coordinates):
Th 0.0000 0.0000 0.0000  2 Hg 3.22, 6 Th 3.31
Hg 0.1006 0.1006 0.1006  3 Pd 2.85
Hg 0.8994 0.8994 0.8994  3 Pd 2.85
Pd 0.5000 0.5000 0.5000  6 Hg 2.85

Formation energy from the elements   0.16 eV/atom
D(E_F)   2.5 states/eV/cell



## ThHgPd6 (PBE)

Data for a geometry-optimized ThHgPd6 structure.

Cell lengths 4.1698, 4.1698, 8.1714 Å; angles 90.00, 90.00, 90.00 degrees
Closest atoms and distances in Å follow each position.
Atoms (fractional coordinates):
Th 0.0000 0.0000 0.0000  12 Pd 2.94-2.95
Hg 0.0000 0.0000 0.5000  12 Pd 2.90-2.95
Pd 0.0000 0.5000 0.2529  2 Hg 2.90, 8 Pd 2.90-2.95, 2 Th 2.94
Pd 0.0000 0.5000 0.7471  2 Hg 2.90, 8 Pd 2.90-2.95, 2 Th 2.94
Pd 0.5000 0.0000 0.2529  2 Hg 2.90, 8 Pd 2.90-2.95, 2 Th 2.94
Pd 0.5000 0.0000 0.7471  2 Hg 2.90, 8 Pd 2.90-2.95, 2 Th 2.94
Pd 0.5000 0.5000 0.0000  8 Pd 2.94, 4 Th 2.95
Pd 0.5000 0.5000 0.5000  8 Pd 2.90, 4 Hg 2.95

ΔE to the lowest computed polymorph   0 meV/atom
Formation energy from the elements   -0.58 eV/atom
D(E_F)   4.5 states/eV/cell



## Th2Hg3Pd8 (PBE)

Data for a geometry-optimized Th2Hg3Pd8 structure.

Cell lengths 7.9314, 7.9314, 7.3468 Å; angles 117.38, 117.38, 41.34 degrees
Closest atoms and distances in Å follow each position.
Atoms (fractional coordinates):
Th 0.1535 0.1535 0.2593  4 Pd 2.75-2.85
Th 0.8465 0.8465 0.7407  4 Pd 2.75-2.85
Hg 0.2434 0.7566 0.5000  2 Hg 2.73-2.87, 4 Pd 2.77-2.82
Hg 0.5000 0.5000 0.0000  6 Pd 2.79-2.81
Hg 0.7566 0.2434 0.5000  2 Hg 2.73-2.87, 4 Pd 2.77-2.82
Pd 0.1098 0.6021 0.0692  1 Th 2.75, 5 Pd 2.76-2.89, 2 Hg 2.79-2.82
Pd 0.2120 0.2120 0.6912  5 Pd 2.75-2.89, 1 Th 2.85, 2 Hg 3.06
Pd 0.3596 0.3596 0.5683  1 Pd 2.75, 1 Th 2.77, 3 Hg 2.77-2.81
Pd 0.3979 0.8902 0.9308  1 Th 2.75, 5 Pd 2.76-2.89, 2 Hg 2.79-2.82
Pd 0.6021 0.1098 0.0692  1 Th 2.75, 5 Pd 2.76-2.89, 2 Hg 2.79-2.82
Pd 0.6404 0.6404 0.4317  1 Pd 2.75, 1 Th 2.77, 3 Hg 2.77-2.81
Pd 0.7880 0.7880 0.3088  5 Pd 2.75-2.89, 1 Th 2.85, 2 Hg 3.06
Pd 0.8902 0.3979 0.9308  1 Th 2.75, 5 Pd 2.76-2.89, 2 Hg 2.79-2.82

Formation energy from the elements   -0.40 eV/atom
D(E_F)   6.9 states/eV/cell



## Th3HgPd12 (PBE)

Data for a geometry-optimized Th3HgPd12 structure.

Cell lengths 4.2024, 4.2024, 16.5527 Å; angles 90.00, 90.00, 90.00 degrees
Closest atoms and distances in Å follow each position.
Atoms (fractional coordinates):
Th 0.0000 0.0000 0.0000  12 Pd 2.96-2.97
Th 0.0000 0.0000 0.2600  12 Pd 2.87-3.05
Th 0.0000 0.0000 0.7400  12 Pd 2.87-3.05
Hg 0.0000 0.0000 0.5000  12 Pd 2.91-2.97
Pd 0.0000 0.5000 0.1261  8 Pd 2.95-2.97, 4 Th 2.96-3.05
Pd 0.0000 0.5000 0.3780  2 Th 2.87, 2 Hg 2.91, 8 Pd 2.91-2.97
Pd 0.0000 0.5000 0.6220  2 Th 2.87, 2 Hg 2.91, 8 Pd 2.91-2.97
Pd 0.0000 0.5000 0.8739  8 Pd 2.95-2.97, 4 Th 2.96-3.05
Pd 0.5000 0.0000 0.1261  8 Pd 2.95-2.97, 4 Th 2.96-3.05
Pd 0.5000 0.0000 0.3780  2 Th 2.87, 2 Hg 2.91, 8 Pd 2.91-2.97
Pd 0.5000 0.0000 0.6220  2 Th 2.87, 2 Hg 2.91, 8 Pd 2.91-2.97
Pd 0.5000 0.0000 0.8739  8 Pd 2.95-2.97, 4 Th 2.96-3.05
Pd 0.5000 0.5000 0.0000  8 Pd 2.96, 4 Th 2.97
Pd 0.5000 0.5000 0.2513  8 Pd 2.95-2.97, 4 Th 2.97
Pd 0.5000 0.5000 0.5000  8 Pd 2.91, 4 Hg 2.97
Pd 0.5000 0.5000 0.7487  8 Pd 2.95-2.97, 4 Th 2.97

Formation energy from the elements   -0.78 eV/atom
D(E_F)   3.4 states/eV/cell